No. 1
A plane-wave DFT calculation with PBE was carried out for an optimized crystal structure of AgSbPb2.

a = 5.383 Å, b = 5.383 Å, c = 5.383 Å
α = 60.00°, β = 60.00°, γ = 60.00°
Sites, in units of the cell vectors:
Pb1 0.000 0.000 0.000
Pb2 0.250 0.250 0.250
Ag1 0.500 0.500 0.500
Sb1 0.750 0.750 0.750

Calculated values
As for the density of states at the Fermi level: 0.797 states/eV per atom. The space-group type is No. 216. As for the energy relative to the elements, uncorrected: 0.196 eV per atom. For the raw total energy, the calculation gives -0.1250 hartree per atom.

---

No. 2
A plane-wave DFT calculation with PBE was carried out for an optimized crystal structure of AgSb2Pb.

a = 4.486 Å, b = 4.486 Å, c = 7.975 Å
α = 84.53°, β = 84.53°, γ = 43.23°
Sites, in units of the cell vectors:
Sb1 0.228 0.228 0.282
Sb2 0.015 0.015 0.005
Pb1 0.758 0.758 0.726
Ag1 0.499 0.499 0.487

Calculated values
As for the density of states at the Fermi level: 0.411 states/eV per atom. The space-group type is No. 8. As for the energy relative to the elements, uncorrected: 0.134 eV per atom. For the raw total energy, the calculation gives -0.1311 hartree per atom.

---

No. 3
A plane-wave DFT calculation with PBE was carried out for an optimized crystal structure of AgSb2Pb2.

a = 7.949 Å, b = 8.070 Å, c = 9.324 Å
α = 90.00°, β = 92.32°, γ = 90.00°
Sites, in units of the cell vectors:
Sb1 0.770 0.929 0.132
Sb2 0.258 0.608 0.650
Sb3 0.242 0.108 0.350
Sb4 0.730 0.429 0.868
Sb5 0.742 0.392 0.350
Sb6 0.270 0.571 0.132
Sb7 0.230 0.071 0.868
Sb8 0.758 0.892 0.650
Pb1 0.503 0.190 0.653
Pb2 0.997 0.690 0.347
Pb3 0.998 0.741 0.907
Pb4 0.502 0.241 0.093
Pb5 0.497 0.810 0.347
Pb6 0.498 0.759 0.907
Pb7 0.002 0.259 0.093
Pb8 0.003 0.310 0.653
Ag1 0.370 0.427 0.407
Ag2 0.130 0.927 0.593
Ag3 0.630 0.573 0.593
Ag4 0.870 0.073 0.407

Calculated values
As for the density of states at the Fermi level: 0.643 states/eV per atom. The space-group type is No. 14. As for the energy relative to the elements, uncorrected: 0.050 eV per atom. For the raw total energy, the calculation gives -0.1342 hartree per atom.